[1]
First-principles (GGA-PBE) data for crystalline CaReN3 at its relaxed geometry, as listed in Alexandria.

a = 5.349 Å, b = 5.791 Å, c = 5.884 Å
α = 112.56°, β = 101.85°, γ = 102.84°
Space group P1 (No. 1)
Inequivalent atoms, fractional coordinates:
Ca (0.000, 0.000, 0.000) [1 per cell]
Ca (0.404, 0.500, 0.791) [1 per cell]
Re (0.201, 0.765, 0.427) [1 per cell]
Re (0.693, 0.910, 0.383) [1 per cell]
N (0.049, 0.408, 0.394) [1 per cell]
N (0.144, 0.045, 0.656) [1 per cell]
N (0.318, 0.816, 0.149) [1 per cell]
N (0.578, 0.805, 0.636) [1 per cell]
N (0.796, 0.662, 0.147) [1 per cell]
N (0.847, 0.241, 0.395) [1 per cell]

Results
- Magnetic moment: 0.0 μB per formula unit
- E_form (uncorrected): -0.345 eV per atom
- V: 15.53 Å³/atom

[2]
First-principles (GGA-PBE) data for crystalline InGaHg2 at its relaxed geometry, as listed in Alexandria.

a = 4.340 Å, b = 4.340 Å, c = 21.698 Å
α = 90.00°, β = 90.00°, γ = 90.00°
Space group I-42d (No. 122)
Inequivalent atoms, fractional coordinates:
In (0.000, 0.000, 0.000) [4 per cell]
Ga (0.000, 0.000, 0.500) [4 per cell]
Hg (0.244, 0.250, 0.625) [8 per cell]

Results
- Energy of formation: 7 kJ per mole of atoms
- Magnetic moment: 0.0 μB per formula unit
- V: 25.55 Å³/atom

[3]
First-principles (GGA-PBE) data for crystalline TbDy4Hg4 at its relaxed geometry, as listed in Alexandria.

a = 9.513 Å, b = 9.513 Å, c = 5.523 Å
α = 90.00°, β = 90.00°, γ = 90.00°
Space group P4_2/n (No. 86, origin choice 2)
Inequivalent atoms, fractional coordinates:
Tb (0.250, 0.250, 0.250) [2 per cell]
Dy (0.098, 0.839, 0.650) [8 per cell]
Hg (0.046, 0.146, 0.852) [8 per cell]

Results
- Energy of formation: -25 kJ per mole of atoms
- Magnetic moment: 0.0 μB per formula unit
- V: 27.77 Å³/atom